Run A
Entry from Alexandria: a relaxed structure of AcErTh2 (GGA-PBE).

As for the density of states at the Fermi level: 1.726 states/eV per atom. For the total moment, the calculation gives 0.0 μB/f.u.

```
AcErTh2
1.0
5.128 0.000 0.000
0.000 5.128 0.000
0.000 0.000 5.238
Ac Er Th
1 1 2
Direct
0.000 0.000 0.000
0.500 0.500 0.000
0.000 0.500 0.500
0.500 0.000 0.500
```



Run B
Entry from Alexandria: a relaxed structure of AcErTh2 (GGA-PBE).

As for the density of states at the Fermi level: 1.461 states/eV per atom. For the total moment, the calculation gives 0.0 μB/f.u.

```
AcErTh2
1.0
1.787 1.032 12.738
-1.787 1.032 12.738
0.000 -2.063 12.738
Ac Er Th
1 1 2
Direct
0.000 0.000 0.000
0.500 0.500 0.500
0.091 0.091 0.091
0.909 0.909 0.909
```



Relative energy of each structure, in meV/atom: run A 0; run B 109.



Run A
Entry from Alexandria: a relaxed structure of Ac2ErTl2 (GGA-PBE).

As for the density of states at the Fermi level: 1.190 states/eV per atom. For the total moment, the calculation gives 0.0 μB/f.u.

```
Ac2ErTl2
1.0
-2.487 3.555 5.013
2.487 -3.555 5.013
2.487 3.555 -5.013
Ac Er Tl
2 1 2
Direct
0.196 0.196 0.000
0.804 0.804 0.000
0.500 0.000 0.500
0.230 0.500 0.730
0.770 0.500 0.270
```



Run B
Entry from Alexandria: a relaxed structure of Ac2ErTl2 (GGA-PBE).

As for the density of states at the Fermi level: 1.506 states/eV per atom. For the total moment, the calculation gives 0.0 μB/f.u.

```
Ac2ErTl2
1.0
8.383 0.000 0.000
0.000 8.383 0.000
0.000 0.000 9.998
Ac Er Tl
8 4 8
Direct
0.170 0.330 0.000
0.170 0.330 0.500
0.330 0.830 0.000
0.330 0.830 0.500
0.670 0.170 0.000
0.670 0.170 0.500
0.830 0.670 0.000
0.830 0.670 0.500
0.000 0.000 0.250
0.000 0.000 0.750
0.500 0.500 0.250
0.500 0.500 0.750
0.132 0.632 0.250
0.132 0.632 0.750
0.368 0.132 0.250
0.368 0.132 0.750
0.632 0.868 0.250
0.632 0.868 0.750
0.868 0.368 0.250
0.868 0.368 0.750
```



Relative energy of each structure, in meV/atom: run A 18; run B 0.



Run A
Entry from Alexandria: a relaxed structure of Ac2ErTl4 (GGA-PBE).

As for the density of states at the Fermi level: 0.840 states/eV per atom. For the total moment, the calculation gives 0.0 μB/f.u.

```
Ac2ErTl4
1.0
-2.754 2.754 7.809
2.754 -2.754 7.809
2.754 2.754 -7.809
Ac Er Tl
2 1 4
Direct
0.248 0.248 0.000
0.752 0.752 0.000
0.500 0.500 0.000
0.104 0.604 0.500
0.396 0.896 0.500
0.604 0.104 0.500
0.896 0.396 0.500
```



Run B
Entry from Alexandria: a relaxed structure of Ac2ErTl4 (GGA-PBE).

As for the density of states at the Fermi level: 0.612 states/eV per atom. For the total moment, the calculation gives 0.0 μB/f.u.

```
Ac2ErTl4
1.0
6.543 0.000 0.000
0.000 6.650 0.000
-2.416 0.000 10.367
Ac Er Tl
4 2 8
Direct
0.133 0.250 0.419
0.331 0.750 0.003
0.669 0.250 0.997
0.867 0.750 0.581
0.070 0.250 0.802
0.930 0.750 0.198
0.193 0.250 0.107
0.301 0.750 0.435
0.401 0.510 0.711
0.401 0.990 0.711
0.599 0.010 0.289
0.599 0.490 0.289
0.699 0.250 0.565
0.807 0.750 0.893
```



Relative energy of each structure, in meV/atom: run A 57; run B 0.



Run A
Entry from Alexandria: a relaxed structure of AcErTl4 (GGA-PBE).

As for the density of states at the Fermi level: 0.415 states/eV per atom. For the total moment, the calculation gives 0.0 μB/f.u.

```
AcErTl4
1.0
5.183 0.000 0.000
-2.592 4.489 0.000
0.000 0.000 7.813
Ac Er Tl
1 1 4
Direct
0.000 0.000 0.000
0.000 0.000 0.500
0.333 0.667 0.340
0.333 0.667 0.784
0.667 0.333 0.216
0.667 0.333 0.660
```



Run B
Entry from Alexandria: a relaxed structure of AcErTl4 (GGA-PBE).

As for the density of states at the Fermi level: 0.895 states/eV per atom. For the total moment, the calculation gives 0.0 μB/f.u.

```
AcErTl4
1.0
0.000 4.494 4.494
4.494 0.000 4.494
4.494 4.494 0.000
Ac Er Tl
1 1 4
Direct
0.000 0.000 0.000
0.250 0.250 0.250
0.126 0.625 0.625
0.625 0.126 0.625
0.625 0.625 0.126
0.625 0.625 0.625
```



Relative energy of each structure, in meV/atom: run A 0; run B 153.



Run A
Entry from Alexandria: a relaxed structure of AcEr4Tm7 (GGA-PBE).

As for the density of states at the Fermi level: 1.569 states/eV per atom. For the total moment, the calculation gives 0.0 μB/f.u.

```
AcEr4Tm7
1.0
5.620 0.000 0.000
0.000 21.662 0.000
0.000 0.000 6.216
Ac Er Tm
2 8 14
Direct
0.250 0.250 0.170
0.750 0.750 0.830
0.250 0.081 0.169
0.250 0.419 0.169
0.250 0.582 0.167
0.250 0.918 0.167
0.750 0.082 0.833
0.750 0.418 0.833
0.750 0.581 0.831
0.750 0.919 0.831
0.250 0.000 0.667
0.250 0.163 0.668
0.250 0.337 0.668
0.250 0.500 0.667
0.250 0.663 0.664
0.250 0.750 0.176
0.250 0.837 0.664
0.750 0.000 0.333
0.750 0.163 0.336
0.750 0.250 0.824
0.750 0.337 0.336
0.750 0.500 0.333
0.750 0.663 0.332
0.750 0.837 0.332
```



Run B
Entry from Alexandria: a relaxed structure of AcEr4Tm7 (GGA-PBE).

As for the density of states at the Fermi level: 1.799 states/eV per atom. For the total moment, the calculation gives 0.0 μB/f.u.

```
AcEr4Tm7
1.0
6.076 -2.993 0.000
6.076 2.993 0.000
-6.008 0.000 10.879
Ac Er Tm
1 4 7
Direct
0.000 0.000 0.000
0.277 0.277 0.693
0.383 0.383 0.225
0.617 0.617 0.775
0.723 0.723 0.307
0.040 0.040 0.369
0.215 0.215 0.917
0.356 0.356 0.478
0.500 0.500 0.000
0.644 0.644 0.522
0.785 0.785 0.083
0.960 0.960 0.631
```



Relative energy of each structure, in meV/atom: run A 0; run B 308.



Run A
Entry from Alexandria: a relaxed structure of AcEr7Tm3 (GGA-PBE).

As for the density of states at the Fermi level: 1.563 states/eV per atom. For the total moment, the calculation gives 0.0 μB/f.u.

```
AcEr7Tm3
1.0
6.930 0.000 0.000
0.000 5.536 0.000
-3.033 0.000 9.278
Ac Er Tm
1 7 3
Direct
0.000 0.000 0.000
0.000 0.000 0.500
0.148 0.500 0.788
0.334 0.500 0.145
0.439 0.000 0.334
0.561 0.000 0.666
0.666 0.500 0.855
0.852 0.500 0.212
0.273 0.500 0.491
0.500 0.000 0.000
0.727 0.500 0.509
```



Run B
Entry from Alexandria: a relaxed structure of AcEr7Tm3 (GGA-PBE).

As for the density of states at the Fermi level: 1.672 states/eV per atom. For the total moment, the calculation gives 0.0 μB/f.u.

```
AcEr7Tm3
1.0
-2.942 5.504 5.593
2.942 -5.504 5.593
2.942 5.504 -5.593
Ac Er Tm
1 7 3
Direct
0.000 0.000 0.000
0.000 0.500 0.500
0.096 0.788 0.309
0.304 0.304 0.000
0.479 0.788 0.691
0.521 0.212 0.309
0.696 0.696 0.000
0.904 0.212 0.691
0.292 0.500 0.792
0.500 0.000 0.500
0.708 0.500 0.208
```



Relative energy of each structure, in meV/atom: run A 0; run B 161.



Run A
Entry from Alexandria: a relaxed structure of AcEr6Tm2 (GGA-PBE).

As for the density of states at the Fermi level: 1.731 states/eV per atom. For the total moment, the calculation gives 1.7 μB/f.u.

```
AcEr6Tm2
1.0
3.595 0.000 0.000
-1.798 3.114 0.000
0.000 0.000 26.060
Ac Er Tm
1 6 2
Direct
0.000 0.000 0.000
0.000 0.000 0.225
0.000 0.000 0.436
0.000 0.000 0.564
0.000 0.000 0.775
0.333 0.667 0.119
0.333 0.667 0.881
0.333 0.667 0.331
0.333 0.667 0.669
```



Run B
Entry from Alexandria: a relaxed structure of AcEr6Tm2 (GGA-PBE).

As for the density of states at the Fermi level: 1.667 states/eV per atom. For the total moment, the calculation gives 0.0 μB/f.u.

```
AcEr6Tm2
1.0
3.401 1.963 8.410
-3.401 1.963 8.410
0.000 -3.927 8.410
Ac Er Tm
1 6 2
Direct
0.000 0.000 0.000
0.047 0.047 0.559
0.047 0.559 0.047
0.285 0.285 0.780
0.285 0.780 0.285
0.559 0.047 0.047
0.780 0.285 0.285
0.578 0.578 0.578
0.762 0.762 0.762
```



Relative energy of each structure, in meV/atom: run A 0; run B 324.



Run A
Entry from Alexandria: a relaxed structure of AcEr7Tm12 (GGA-PBE).

As for the density of states at the Fermi level: 1.895 states/eV per atom. For the total moment, the calculation gives 0.0 μB/f.u.

```
AcEr7Tm12
1.0
5.968 3.446 5.198
-5.968 3.446 5.198
0.000 -6.891 5.198
Ac Er Tm
1 7 12
Direct
0.000 0.000 0.000
0.060 0.393 0.157
0.157 0.060 0.393
0.393 0.157 0.060
0.500 0.500 0.500
0.607 0.843 0.940
0.843 0.940 0.607
0.940 0.607 0.843
0.136 0.622 0.497
0.148 0.274 0.722
0.274 0.722 0.148
0.278 0.852 0.726
0.378 0.503 0.864
0.497 0.136 0.622
0.503 0.864 0.378
0.622 0.497 0.136
0.722 0.148 0.274
0.726 0.278 0.852
0.852 0.726 0.278
0.864 0.378 0.503
```



Run B
Entry from Alexandria: a relaxed structure of AcEr7Tm12 (GGA-PBE).

As for the density of states at the Fermi level: 1.238 states/eV per atom. For the total moment, the calculation gives 0.0 μB/f.u.

```
AcEr7Tm12
1.0
-5.616 5.616 5.616
5.616 -5.616 5.616
5.616 5.616 -5.616
Ac Er Tm
1 7 12
Direct
0.000 0.000 0.000
0.000 0.000 0.500
0.000 0.500 0.000
0.000 0.500 0.500
0.500 0.000 0.000
0.500 0.000 0.500
0.500 0.500 0.000
0.500 0.500 0.500
0.001 0.267 0.734
0.266 0.533 0.267
0.266 0.999 0.733
0.267 0.266 0.533
0.267 0.734 0.001
0.467 0.733 0.734
0.533 0.267 0.266
0.733 0.266 0.999
0.733 0.734 0.467
0.734 0.001 0.267
0.734 0.467 0.733
0.999 0.733 0.266
```



Relative energy of each structure, in meV/atom: run A 0; run B 469.